DFT (PBE-GGA) results for a relaxed PrErCu2 crystal.

Output
E above lowest polymorph (meV per atom): 2

Lattice parameters (Å, degrees): 4.470 7.162 5.394 90.00 90.00 90.00
Space group Pmn2_1 (No. 31)
Symmetry-distinct sites (fractional):
Pr 0.000 0.073 0.000 [2 per cell]
Er 0.000 0.565 0.235 [2 per cell]
Cu 0.000 0.235 0.500 [2 per cell]
Cu 0.000 0.699 0.749 [2 per cell]

DFT (PBE-GGA) results for a relaxed PrErCu2 crystal.

Output
E above lowest polymorph (meV per atom): 4

Lattice parameters (Å, degrees): 4.506 5.484 7.179 90.00 90.00 90.00
Space group Pmc2_1 (No. 26)
Symmetry-distinct sites (fractional):
Pr 0.000 0.119 0.000 [2 per cell]
Er 0.500 0.386 0.361 [2 per cell]
Cu 0.000 0.382 0.643 [2 per cell]
Cu 0.500 0.134 0.709 [2 per cell]

DFT (PBE-GGA) results for a relaxed PrEr3Cu4 crystal.

Lattice parameters (Å, degrees): 5.358 4.468 7.085 90.00 90.76 90.00
Space group Pm (No. 6)
Symmetry-distinct sites (fractional):
Pr 0.000 0.000 0.000 [1 per cell]
Er 0.270 0.500 0.368 [1 per cell]
Er 0.500 0.500 0.859 [1 per cell]
Er 0.767 0.000 0.502 [1 per cell]
Cu 0.003 0.500 0.703 [1 per cell]
Cu 0.265 0.000 0.640 [1 per cell]
Cu 0.506 0.000 0.154 [1 per cell]
Cu 0.750 0.500 0.223 [1 per cell]

The ΔE_f results, record by record, are as follows: -0.21, -0.21, -0.24 eV per atom.